Entry from Alexandria via LeMat-Bulk: BaInFeHg2 after structural relaxation (PBE).

Cell lengths 5.498, 6.850, 5.498 Å; angles 90.00, 90.00, 90.00 degrees
Last column: magnetic moment on the atom in μB.
Element x y z (fractional)
Fe 0.500 0.500 0.500  3.18
In 0.000 0.000 0.000  0.01
Hg 0.000 0.000 0.500  0.00
Hg 0.500 0.000 0.000  0.00
Ba 0.000 0.500 0.000  -0.04

Computed properties:
**Spin magnetization**: 3.23 μB per formula unit
**Energy of formation**: 0.6965 eV per atom
**Crystal system**: tetragonal